DFT (PBE) results for crystalline TbGa2Ni3 at its relaxed geometry.

Cell: 5.1784 6.0217 6.0217 Å, 99.83 90.00 90.00°
Element x y z (fractional)
Ni1 0.2500 0.5596 0.8779
Ga1 0.5000 0.2229 0.7771
Ni2 0.7500 0.0414 0.0414
Ga2 0.0000 0.2229 0.7771
Tb1 0.2500 0.3152 0.3152
Ga3 0.5000 0.7771 0.2229
Ni3 0.2500 0.9586 0.9586
Ni4 0.7500 0.4404 0.1221
Ga4 0.0000 0.7771 0.2229
Ni5 0.2500 0.8779 0.5596
Tb2 0.7500 0.6848 0.6848
Ni6 0.7500 0.1221 0.4404

Output
- Spin magnetization: 0.00 μB per cell
- E: -5.133 eV per atom
- E_form: -0.46 eV per atom



DFT (PBE) results for crystalline Tb2GaNi7 at its relaxed geometry.

Cell: 3.7905 3.7905 10.4615 Å, 90.00 90.00 90.00°
Element x y z (fractional)
Ni1 0.0000 0.5000 0.8576
Ni2 0.5000 0.5000 0.5000
Ni3 0.0000 0.0000 0.5000
Tb1 0.0000 0.5000 0.2660
Ni4 0.0000 0.5000 0.6385
Ni5 0.5000 0.0000 0.3615
Ni6 0.5000 0.0000 0.1424
Ga1 0.5000 0.5000 0.0000
Ni7 0.0000 0.0000 0.0000
Tb2 0.5000 0.0000 0.7340

Output
- Spin magnetization: 0.00 μB per cell
- E: -5.580 eV per atom
- E_form: -0.30 eV per atom



DFT (PBE) results for crystalline TbGa6Ni2 at its relaxed geometry.

Cell: 8.0782 8.0782 8.0782 Å, 60.00 60.00 60.00°
Element x y z (fractional)
Tb1 0.7500 0.7500 0.7500
Ga1 0.0168 0.4832 0.4832
Ga2 0.2332 0.7668 0.7668
Ga3 0.4832 0.4832 0.0168
Ga4 0.7668 0.7668 0.2332
Ni1 0.1250 0.1250 0.6250
Ni2 0.1250 0.1250 0.1250
Tb2 0.5000 0.5000 0.5000
Ni3 0.6250 0.1250 0.1250
Ga5 0.7668 0.2332 0.7668
Ga6 0.0168 0.4832 0.0168
Ni4 0.1250 0.6250 0.1250
Ga7 0.4832 0.0168 0.0168
Ga8 0.2332 0.7668 0.2332
Ga9 0.7668 0.2332 0.2332
Ga10 0.4832 0.0168 0.4832
Ga11 0.0168 0.0168 0.4832
Ga12 0.2332 0.2332 0.7668

Output
- Spin magnetization: 0.00 μB per cell
- E: -3.833 eV per atom
- E_form: -0.02 eV per atom



DFT (PBE) results for crystalline TbGa2Ni8 at its relaxed geometry.

Cell: 5.8507 5.8507 4.8460 Å, 90.00 90.00 90.00°
Site moments in Bohr magnetons follow the coordinates.
Element x y z (fractional)
Ga1 0.5000 0.0000 0.0000  -0.01
Ni1 0.2007 0.7993 0.7432  0.12
Tb1 0.5000 0.5000 0.5000  -0.03
Ni2 0.2007 0.2007 0.7432  0.12
Ni3 0.7993 0.7993 0.7432  0.12
Ni4 0.7993 0.2007 0.2568  0.12
Ni5 0.2007 0.2007 0.2568  0.12
Ga2 0.0000 0.5000 0.0000  -0.01
Ni6 0.7993 0.7993 0.2568  0.12
Ni7 0.7993 0.2007 0.7432  0.12
Ni8 0.2007 0.7993 0.2568  0.12

Output
- Spin magnetization: 0.91 μB per cell
- E: -5.013 eV per atom
- E_form: 0.16 eV per atom



DFT (PBE) results for crystalline TbGa4Ni3 at its relaxed geometry.

Cell: 4.0743 4.0743 7.7648 Å, 90.00 90.00 90.00°
Element x y z (fractional)
Ga1 0.0000 0.5000 0.8212
Ga2 0.5000 0.0000 0.1788
Ni1 0.5000 0.5000 0.6482
Ni2 0.5000 0.5000 0.3518
Tb1 0.0000 0.0000 0.5000
Ga3 0.0000 0.5000 0.1788
Ga4 0.5000 0.0000 0.8212
Ni3 0.0000 0.0000 0.0000

Output
- Spin magnetization: 0.00 μB per cell
- E: -4.711 eV per atom
- E_form: -0.45 eV per atom



DFT (PBE) results for crystalline Tb3Ga3Ni8 at its relaxed geometry.

Cell: 4.0851 7.7994 7.7994 Å, 68.91 74.82 74.82°
Element x y z (fractional)
Ga1 0.0000 0.2361 0.7639
Tb1 0.7958 0.2042 0.2042
Ni1 0.3874 0.8927 0.3326
Tb2 0.2042 0.7958 0.7958
Ni2 0.6126 0.6674 0.1073
Ni3 0.8096 0.5189 0.8619
Ga2 0.0000 0.7639 0.2361
Ni4 0.1904 0.4811 0.1381
Ni5 0.3874 0.3326 0.8927
Tb3 0.5000 0.5000 0.5000
Ga3 0.5000 0.0000 0.0000
Ni6 0.8096 0.8619 0.5189
Ni7 0.1904 0.1381 0.4811
Ni8 0.6126 0.1073 0.6674

Output
- Spin magnetization: 0.00 μB per cell
- E: -5.368 eV per atom
- E_form: -0.42 eV per atom



DFT (PBE) results for crystalline TbGa2Ni at its relaxed geometry.

Cell: 3.1665 3.1665 6.8888 Å, 90.00 90.00 90.00°
Element x y z (fractional)
Tb1 0.5000 0.5000 0.5000
Ni1 0.5000 0.5000 0.0000
Ga1 0.0000 0.0000 0.1917
Ga2 0.0000 0.0000 0.8083

Output
- Spin magnetization: 0.00 μB per cell
- E: -4.533 eV per atom
- E_form: -0.42 eV per atom



DFT (PBE) results for crystalline Tb11Ga9Ni4 at its relaxed geometry.

Cell: 3.5770 12.4676 12.4676 Å, 112.71 90.00 90.00°
Element x y z (fractional)
Tb1 0.0000 0.8338 0.1662
Ga1 0.5000 0.5000 0.5000
Tb2 0.0000 0.5874 0.9289
Ga2 0.5000 0.9206 0.7815
Ga3 0.5000 0.6301 0.1659
Tb3 0.0000 0.4126 0.0711
Tb4 0.0000 0.0000 0.0000
Ni1 0.5000 0.5529 0.7571
Ni2 0.5000 0.4471 0.2429
Ni3 0.5000 0.2429 0.4471
Ga4 0.5000 0.3699 0.8341
Ni4 0.5000 0.7571 0.5529
Tb5 0.0000 0.6910 0.6910
Ga5 0.5000 0.7815 0.9206
Ga6 0.5000 0.2185 0.0794
Tb6 0.0000 0.0711 0.4126
Tb7 0.0000 0.1662 0.8338
Ga7 0.5000 0.1659 0.6301
Tb8 0.0000 0.6261 0.3739
Tb9 0.0000 0.3090 0.3090
Tb10 0.0000 0.3739 0.6261
Ga8 0.5000 0.0794 0.2185
Tb11 0.0000 0.9289 0.5874
Ga9 0.5000 0.8341 0.3699

Output
- Spin magnetization: 0.00 μB per cell
- E: -4.808 eV per atom
- E_form: -0.59 eV per atom